# 1
! YRe2Hg | the Alexandria database | PBE-GGA | relaxed; values from VASP
&SYSTEM
  ibrav = 0, nat = 4, ntyp = 3
/
ATOMIC_SPECIES
Y 88.91 Y.upf
Re 186.21 Re.upf
Hg 200.59 Hg.upf
CELL_PARAMETERS angstrom
3.483 0.000 0.000
0.000 4.558 0.000
0.000 0.000 4.712
ATOMIC_POSITIONS crystal
Y 0.000 0.000 0.000
Re 0.000 0.500 0.500
Re 0.500 0.000 0.500
Hg 0.500 0.500 0.000
! * SG: No. 47


# 2
! Y2ReHg | the Alexandria database | PBE-GGA | relaxed; values from VASP
&SYSTEM
  ibrav = 0, nat = 4, ntyp = 3
/
ATOMIC_SPECIES
Y 88.91 Y.upf
Re 186.21 Re.upf
Hg 200.59 Hg.upf
CELL_PARAMETERS angstrom
1.757 1.014 9.126
-1.757 1.014 9.126
0.000 -2.029 9.126
ATOMIC_POSITIONS crystal
Y 0.242 0.242 0.242
Y 0.758 0.758 0.758
Re 0.500 0.500 0.500
Hg 0.000 0.000 0.000
! * SG: No. 166


# 3
! YRe2Hg | the Alexandria database | PBE-GGA | relaxed; values from VASP
&SYSTEM
  ibrav = 0, nat = 8, ntyp = 3
/
ATOMIC_SPECIES
Y 88.91 Y.upf
Re 186.21 Re.upf
Hg 200.59 Hg.upf
CELL_PARAMETERS angstrom
-3.962 3.962 2.698
3.962 -3.962 2.698
3.962 3.962 -2.698
ATOMIC_POSITIONS crystal
Y 0.000 0.000 0.000
Y 0.750 0.250 0.500
Re 0.151 0.625 0.026
Re 0.375 0.401 0.526
Re 0.599 0.125 0.974
Re 0.875 0.849 0.474
Hg 0.250 0.750 0.500
Hg 0.500 0.500 0.000
! * SG: No. 122


# 4
! YRe3Hg | the Alexandria database | PBE-GGA | relaxed; values from VASP
&SYSTEM
  ibrav = 0, nat = 5, ntyp = 3
/
ATOMIC_SPECIES
Y 88.91 Y.upf
Re 186.21 Re.upf
Hg 200.59 Hg.upf
CELL_PARAMETERS angstrom
4.924 0.000 0.000
0.000 4.924 0.000
0.000 0.000 4.924
ATOMIC_POSITIONS crystal
Y 0.000 0.000 0.000
Re 0.000 0.500 0.500
Re 0.500 0.000 0.500
Re 0.500 0.500 0.000
Hg 0.500 0.500 0.500
! * energy relative to the lowest polymorph listed for this composition: 0.00 eV/f.u.
! * SG: No. 221


# 5
! YRe2Hg | the Alexandria database | PBE-GGA | relaxed; values from VASP
&SYSTEM
  ibrav = 0, nat = 4, ntyp = 3
/
ATOMIC_SPECIES
Y 88.91 Y.upf
Re 186.21 Re.upf
Hg 200.59 Hg.upf
CELL_PARAMETERS angstrom
2.936 0.000 0.000
0.000 4.425 0.000
0.000 0.000 6.118
ATOMIC_POSITIONS crystal
Y 0.000 0.000 0.000
Re 0.500 0.500 0.302
Re 0.500 0.500 0.698
Hg 0.000 0.000 0.500
! * SG: No. 47


# 6
! YRe2Hg | the Alexandria database | PBE-GGA | relaxed; values from VASP
&SYSTEM
  ibrav = 0, nat = 4, ntyp = 3
/
ATOMIC_SPECIES
Y 88.91 Y.upf
Re 186.21 Re.upf
Hg 200.59 Hg.upf
CELL_PARAMETERS angstrom
1.643 -2.332 0.000
1.643 2.332 0.000
0.000 0.000 9.690
ATOMIC_POSITIONS crystal
Y 0.000 0.000 0.000
Re 0.500 0.500 0.253
Re 0.500 0.500 0.747
Hg 0.000 0.000 0.500
! * SG: No. 65


| no. | DOS(E_F) (states/eV/f.u.) | formation enthalpy at 0 K (eV/atom) |
| --- | --- | --- |
| 1 | 2.92 | 0.56 |
| 2 | 3.93 | 0.15 |
| 3 | 4.29 | 1.19 |
| 4 | 9.61 | 2.53 |
| 5 | 4.93 | 0.72 |
| 6 | 3.78 | 0.77 |